ThZrPb2 | GGA-PBE | relaxed

```
4
Lattice="-0.807 -1.007 4.350 -2.968 -3.660 -1.398 3.819 -3.094 -0.008" Properties=species:S:1:pos:R:3 pbc="T T T"
Pb 1.910 -1.547 -0.004
Pb -1.484 -1.830 -0.699
Zr -0.404 -0.504 2.175
Th 0.022 -3.881 1.472
```

Properties
Electronic total energy = -5.989 eV per atom
Energy of formation from the pure elements = -0.142 eV/atom